1.
{"formula": "VTcOsAu2", "functional": "GGA-PBE", "state": "optimized geometry", "lattice": [[4.984, 0.000, 0.000], [0.000, 4.984, 0.000], [0.000, 0.000, 4.570]], "species": ["V", "Tc", "Os", "Au", "Au"], "fractional_positions": [[0.000, 0.000, 0.000], [0.500, 0.500, 0.500], [0.500, 0.500, 0.000], [0.000, 0.500, 0.500], [0.500, 0.000, 0.500]], "final_energy_ev_per_atom": -5.59, "m_tot_mub_per_fu": 0.7, "e_form_ev_per_atom": 1.862}



2.
{"formula": "TcOs2WAu", "functional": "GGA-PBE", "state": "optimized geometry", "lattice": [[4.652, 0.000, 0.000], [0.000, 4.652, 0.000], [0.000, 0.000, 4.685]], "species": ["Tc", "Os", "Os", "W", "Au"], "fractional_positions": [[0.000, 0.000, 0.000], [0.000, 0.500, 0.000], [0.500, 0.000, 0.000], [0.000, 0.000, 0.500], [0.500, 0.500, 0.500]], "final_energy_ev_per_atom": -7.69, "m_tot_mub_per_fu": 0.0, "e_form_ev_per_atom": 2.125}



3.
{"formula": "TeOs2Au", "functional": "GGA-PBE", "state": "optimized geometry", "lattice": [[2.912, 0.000, 0.000], [0.000, 2.912, 0.000], [0.000, 0.000, 8.784]], "species": ["Te", "Os", "Os", "Au"], "fractional_positions": [[0.000, 0.000, 0.000], [0.000, 0.000, 0.563], [0.500, 0.500, 0.745], [0.500, 0.500, 0.327]], "final_energy_ev_per_atom": -6.67, "formation_energy_uncorrected_mev_per_atom": 547, "m_tot_mub_per_fu": 0.0}



4.
{"formula": "TeOsAu2", "functional": "GGA-PBE", "state": "optimized geometry", "lattice": [[3.734, 0.000, 0.000], [0.000, 3.734, 0.000], [0.000, 0.000, 5.533]], "species": ["Te", "Os", "Au", "Au"], "fractional_positions": [[0.000, 0.000, 0.000], [0.000, 0.000, 0.500], [0.500, 0.500, 0.261], [0.500, 0.500, 0.739]], "final_energy_ev_per_atom": -4.42, "formation_energy_uncorrected_mev_per_atom": 810, "m_tot_mub_per_fu": 1.4}